No. 1
Here is an optimized crystal structure of Cs2AcSb2S6 from Alexandria via LeMat-Bulk. Energies are from PBE-GGA.

CIF file:
```
data_Cs2AcSb2S6
_symmetry_space_group_name_H-M 'C 1 2/m 1'
_symmetry_Int_Tables_number 12
_cell_length_a 12.901
_cell_length_b 7.668
_cell_length_c 9.213
_cell_angle_alpha 90.00
_cell_angle_beta 117.76
_cell_angle_gamma 90.00
loop_
_symmetry_equiv_pos_as_xyz
'x,y,z'
'-x,-y,-z'
'-x,y,-z'
'x,-y,z'
'x+1/2,y+1/2,z'
'-x+1/2,-y+1/2,-z'
'-x+1/2,y+1/2,-z'
'x+1/2,-y+1/2,z'
loop_
_atom_site_label
_atom_site_type_symbol
_atom_site_fract_x
_atom_site_fract_y
_atom_site_fract_z
Cs1 Cs 0.202 0.000 0.176
Ac1 Ac 0.000 0.000 0.500
Sb1 Sb 0.052 0.500 0.197
S1 S 0.050 0.247 0.778
S2 S 0.249 0.000 0.588
```

=====

No. 2
Here is an optimized crystal structure of Cs3Ac3SbS8 from Alexandria via LeMat-Bulk. Energies are from PBE-GGA.

CIF file:
```
data_Cs3Ac3SbS8
_symmetry_space_group_name_H-M 'R -3 m'
_symmetry_Int_Tables_number 166
_symmetry_space_group_name_Hall '-R 3 2"'
_cell_length_a 8.7014
_cell_length_b 8.7014
_cell_length_c 24.7927
_cell_angle_alpha 90.00
_cell_angle_beta 90.00
_cell_angle_gamma 120.00
loop_
_atom_site_label
_atom_site_type_symbol
_atom_site_fract_x
_atom_site_fract_y
_atom_site_fract_z
Cs1 Cs 0.0000 0.5000 0.0000
Ac1 Ac 0.0000 0.5000 0.5000
Sb1 Sb 0.0000 0.0000 0.5000
S1 S 0.0000 0.0000 0.2308
S2 S 0.0314 0.5157 0.2262
```

=====

No. 3
Here is an optimized crystal structure of Cs2AcScS4 from Alexandria via LeMat-Bulk. Energies are from PBE-GGA.

CIF file:
```
data_Cs2AcScS4
_symmetry_space_group_name_H-M 'P 1 2/m 1'
_symmetry_Int_Tables_number 10
_cell_length_a 7.276
_cell_length_b 4.213
_cell_length_c 8.413
_cell_angle_alpha 90.00
_cell_angle_beta 106.59
_cell_angle_gamma 90.00
loop_
_symmetry_equiv_pos_as_xyz
'x,y,z'
'-x,-y,-z'
'-x,y,-z'
'x,-y,z'
loop_
_atom_site_label
_atom_site_type_symbol
_atom_site_fract_x
_atom_site_fract_y
_atom_site_fract_z
Cs1 Cs 0.000 0.000 0.000
Cs2 Cs 0.500 0.500 0.000
Ac1 Ac 0.000 0.500 0.500
Sc1 Sc 0.500 0.000 0.500
S1 S 0.260 0.000 0.686
S2 S 0.299 0.500 0.323
```

=====

No. 4
Here is an optimized crystal structure of Cs3Ac2ScS6 from Alexandria via LeMat-Bulk. Energies are from PBE-GGA.

CIF file:
```
data_Cs3Ac2ScS6
_symmetry_space_group_name_H-M 'C 1 2/m 1'
_symmetry_Int_Tables_number 12
_cell_length_a 7.445
_cell_length_b 12.891
_cell_length_c 8.454
_cell_angle_alpha 90.00
_cell_angle_beta 107.07
_cell_angle_gamma 90.00
loop_
_symmetry_equiv_pos_as_xyz
'x,y,z'
'-x,-y,-z'
'-x,y,-z'
'x,-y,z'
'x+1/2,y+1/2,z'
'-x+1/2,-y+1/2,-z'
'-x+1/2,y+1/2,-z'
'x+1/2,-y+1/2,z'
loop_
_atom_site_label
_atom_site_type_symbol
_atom_site_fract_x
_atom_site_fract_y
_atom_site_fract_z
Cs1 Cs 0.000 0.000 0.000
Cs2 Cs 0.000 0.332 0.000
Ac1 Ac 0.000 0.167 0.500
Sc1 Sc 0.000 0.500 0.500
S1 S 0.213 0.349 0.684
S2 S 0.241 0.500 0.315
```

=====

No. 5
Here is an optimized crystal structure of CsAcSeS from Alexandria via LeMat-Bulk. Energies are from PBE-GGA.

CIF file:
```
data_CsAcSeS
_symmetry_space_group_name_H-M 'R 3 m'
_symmetry_Int_Tables_number 160
_symmetry_space_group_name_Hall 'R 3 -2"'
_cell_length_a 4.5338
_cell_length_b 4.5338
_cell_length_c 25.3126
_cell_angle_alpha 90.00
_cell_angle_beta 90.00
_cell_angle_gamma 120.00
loop_
_atom_site_label
_atom_site_type_symbol
_atom_site_fract_x
_atom_site_fract_y
_atom_site_fract_z
Cs1 Cs 0.0000 0.0000 0.0000
Ac1 Ac 0.0000 0.0000 0.8350
Se1 Se 0.0000 0.0000 0.4324
S1 S 0.0000 0.0000 0.2279
```

=====

No. 6
Here is an optimized crystal structure of Cs2AcSi2S6 from Alexandria via LeMat-Bulk. Energies are from PBE-GGA.

CIF file:
```
data_Cs2AcSi2S6
_symmetry_space_group_name_H-M 'C 1 2/m 1'
_symmetry_Int_Tables_number 12
_cell_length_a 12.956
_cell_length_b 7.459
_cell_length_c 8.377
_cell_angle_alpha 90.00
_cell_angle_beta 122.21
_cell_angle_gamma 90.00
loop_
_symmetry_equiv_pos_as_xyz
'x,y,z'
'-x,-y,-z'
'-x,y,-z'
'x,-y,z'
'x+1/2,y+1/2,z'
'-x+1/2,-y+1/2,-z'
'-x+1/2,y+1/2,-z'
'x+1/2,-y+1/2,z'
loop_
_atom_site_label
_atom_site_type_symbol
_atom_site_fract_x
_atom_site_fract_y
_atom_site_fract_z
Cs1 Cs 0.222 0.000 0.211
Ac1 Ac 0.000 0.000 0.500
Si1 Si 0.045 0.500 0.184
S1 S 0.031 0.263 0.787
S2 S 0.234 0.500 0.308
```

=====

No. 7
Here is an optimized crystal structure of Cs3Ac2SmS6 from Alexandria via LeMat-Bulk. Energies are from PBE-GGA.

CIF file:
```
data_Cs3Ac2SmS6
_symmetry_space_group_name_H-M 'C 1 2/m 1'
_symmetry_Int_Tables_number 12
_cell_length_a 7.613
_cell_length_b 13.185
_cell_length_c 8.497
_cell_angle_alpha 90.00
_cell_angle_beta 107.37
_cell_angle_gamma 90.00
loop_
_symmetry_equiv_pos_as_xyz
'x,y,z'
'-x,-y,-z'
'-x,y,-z'
'x,-y,z'
'x+1/2,y+1/2,z'
'-x+1/2,-y+1/2,-z'
'-x+1/2,y+1/2,-z'
'x+1/2,-y+1/2,z'
loop_
_atom_site_label
_atom_site_type_symbol
_atom_site_fract_x
_atom_site_fract_y
_atom_site_fract_z
Cs1 Cs 0.000 0.000 0.000
Cs2 Cs 0.000 0.333 0.000
Ac1 Ac 0.000 0.167 0.500
Sm1 Sm 0.000 0.500 0.500
S1 S 0.223 0.340 0.689
S2 S 0.244 0.000 0.689
```

=====

No. 8
Here is an optimized crystal structure of Cs4Ac3SmS8 from Alexandria via LeMat-Bulk. Energies are from PBE-GGA.

CIF file:
```
data_Cs4Ac3SmS8
_symmetry_space_group_name_H-M 'R -3 m'
_symmetry_Int_Tables_number 166
_symmetry_space_group_name_Hall '-R 3 2"'
_cell_length_a 8.8407
_cell_length_b 8.8407
_cell_length_c 24.3478
_cell_angle_alpha 90.00
_cell_angle_beta 90.00
_cell_angle_gamma 120.00
loop_
_atom_site_label
_atom_site_type_symbol
_atom_site_fract_x
_atom_site_fract_y
_atom_site_fract_z
Cs1 Cs 0.0000 0.0000 0.0000
Cs2 Cs 0.0000 0.5000 0.0000
Ac1 Ac 0.0000 0.5000 0.5000
Sm1 Sm 0.0000 0.0000 0.5000
S1 S 0.0000 0.0000 0.2312
S2 S 0.0127 0.5064 0.2295
```

=====

no.,raw formation energy (eV/f.u.)
1,-10.019
2,-22.572
3,-13.763
4,-21.302
5,-7.251
6,-12.391
7,-22.189
8,-29.623